(1)
Entry from Alexandria via LeMat-Bulk: a geometry-optimized Nd2ScHg structure (PBE-GGA).

abc: 3.728 3.728 8.415
angles: 90.00 90.00 90.00
Element x y z (fractional)
Nd  0.000  0.000  0.239
Nd  0.000  0.000  0.761
Sc  0.500  0.500  0.500
Hg  0.500  0.500  0.000

Summary:
Crystal system ... tetragonal
Formation enthalpy at 0 K ... -71 kJ/mol of formula units
Calculated density ... 7582 kg/m³
N(E_F) ... 1.301 states/eV/atom
Distance to the lowest polymorph of the same formula ... 0.00 kcal/mol of atoms
Spin magnetization ... 0.63 μB per cell
Calculated total energy ... -4.226 eV per atom

=====

(2)
Entry from Alexandria via LeMat-Bulk: a geometry-optimized Nd2ScHg6 structure (PBE-GGA).

abc: 9.341 9.341 5.445
angles: 97.73 97.73 78.16
Element x y z (fractional)
Nd  0.042  0.293  0.081
Nd  0.293  0.042  0.581
Nd  0.707  0.958  0.419
Nd  0.958  0.707  0.919
Sc  0.380  0.620  0.750
Sc  0.620  0.380  0.250
Hg  0.078  0.809  0.473
Hg  0.164  0.412  0.638
Hg  0.191  0.922  0.027
Hg  0.275  0.516  0.195
Hg  0.412  0.164  0.138
Hg  0.484  0.725  0.305
Hg  0.516  0.275  0.695
Hg  0.588  0.836  0.862
Hg  0.725  0.484  0.805
Hg  0.809  0.078  0.973
Hg  0.836  0.588  0.362
Hg  0.922  0.191  0.527

Summary:
Crystal system ... monoclinic
Formation enthalpy at 0 K ... -315 kJ/mol of formula units
Calculated density ... 11145 kg/m³
N(E_F) ... 0.504 states/eV/atom
Spin magnetization ... 0.00 μB per cell
Calculated total energy ... -2.327 eV per atom

=====

(3)
Entry from Alexandria via LeMat-Bulk: a geometry-optimized Nd3Sc2Hg3 structure (PBE-GGA).

abc: 11.520 11.520 11.520
angles: 161.52 153.16 32.78
Element x y z (fractional)
Nd  0.000  0.000  0.000
Nd  0.374  0.874  0.500
Nd  0.626  0.126  0.500
Sc  0.238  0.238  0.000
Sc  0.762  0.762  0.000
Hg  0.135  0.635  0.500
Hg  0.500  0.500  0.000
Hg  0.865  0.365  0.500

Summary:
Crystal system ... orthorhombic
Formation enthalpy at 0 K ... -253 kJ/mol of formula units
Calculated density ... 8542 kg/m³
N(E_F) ... 1.470 states/eV/atom
Spin magnetization ... 0.50 μB per cell
Calculated total energy ... -3.812 eV per atom

=====

(4)
Entry from Alexandria via LeMat-Bulk: a geometry-optimized NdSc2Hg structure (PBE-GGA).

abc: 4.661 4.661 4.643
angles: 90.00 90.00 90.00
Element x y z (fractional)
Nd  0.000  0.000  0.000
Sc  0.000  0.500  0.500
Sc  0.500  0.000  0.500
Hg  0.500  0.500  0.000

Summary:
Crystal system ... tetragonal
Formation enthalpy at 0 K ... -58 kJ/mol of formula units
Calculated density ... 7156 kg/m³
N(E_F) ... 1.260 states/eV/atom
Distance to the lowest polymorph of the same formula ... 0.95 kcal/mol of atoms
Spin magnetization ... 0.78 μB per cell
Calculated total energy ... -4.583 eV per atom

=====

(5)
Entry from Alexandria via LeMat-Bulk: a geometry-optimized Nd2ScHg structure (PBE-GGA).

abc: 10.775 10.775 10.775
angles: 19.34 19.34 19.34
Element x y z (fractional)
Nd  0.000  0.000  0.000
Nd  0.171  0.171  0.171
Sc  0.419  0.419  0.419
Hg  0.585  0.585  0.585

Summary:
Crystal system ... trigonal
Formation enthalpy at 0 K ... -37 kJ/mol of formula units
Calculated density ... 7390 kg/m³
N(E_F) ... 1.325 states/eV/atom
Distance to the lowest polymorph of the same formula ... 2.05 kcal/mol of atoms
Spin magnetization ... 0.00 μB per cell
Calculated total energy ... -4.137 eV per atom

=====

(6)
Entry from Alexandria via LeMat-Bulk: a geometry-optimized Nd5ScHg4 structure (PBE-GGA).

abc: 3.808 3.808 19.778
angles: 90.00 90.00 90.00
Element x y z (fractional)
Nd  0.000  0.000  0.000
Nd  0.000  0.000  0.195
Nd  0.000  0.000  0.392
Nd  0.000  0.000  0.608
Nd  0.000  0.000  0.805
Sc  0.500  0.500  0.500
Hg  0.500  0.500  0.098
Hg  0.500  0.500  0.297
Hg  0.500  0.500  0.703
Hg  0.500  0.500  0.902

Summary:
Crystal system ... tetragonal
Formation enthalpy at 0 K ... -340 kJ/mol of formula units
Calculated density ... 9084 kg/m³
N(E_F) ... 1.306 states/eV/atom
Spin magnetization ... 1.68 μB per cell
Calculated total energy ... -3.491 eV per atom